First-principles (meta-GGA SCAN) data for a PBEsol-optimized structure of ZnHg5, as listed in Alexandria via LeMat-Bulk.

The structure in extended XYZ format:
```
6
Lattice="5.759 -1.621 0.000 5.759 1.621 0.000 -0.733 0.000 7.131" Properties=species:S:1:pos:R:3 pbc="T T T"
Zn 0.000 0.000 0.000
Hg 2.096 0.000 4.148
Hg 2.658 0.000 6.969
Hg 5.271 0.000 4.938
Hg 7.227 0.000 1.659
Hg 10.211 0.000 2.515
```

Summary:
- space group = Cm (8)
- uncorrected energy (eV per cell) = -353.92
- Fermi-level density of states (states/eV/cell) = 1.67
- total magnetization (μB per formula unit) = 0.0

=====

First-principles (meta-GGA SCAN) data for a PBEsol-optimized structure of La2OsNF, as listed in Alexandria via LeMat-Bulk.

The structure in extended XYZ format:
```
5
Lattice="4.982 0.000 0.000 0.000 4.982 0.000 0.000 0.000 3.727" Properties=species:S:1:pos:R:3 pbc="T T T"
La 0.000 2.491 0.000
La 2.491 0.000 0.000
Os 0.000 0.000 1.864
N 2.491 2.491 0.000
F 2.491 2.491 1.864
```

Summary:
- space group = P4/mmm (123)
- E_form (uncorrected) (meV/atom) = -491
- Fermi-level density of states (states/eV/cell) = 1.05
- total magnetization (μB per formula unit) = 0.0

=====

First-principles (meta-GGA SCAN) data for a PBEsol-optimized structure of CsGaHg3, as listed in Alexandria via LeMat-Bulk.

The structure in extended XYZ format:
```
5
Lattice="5.362 0.000 0.000 0.000 5.362 0.000 0.000 0.000 5.362" Properties=species:S:1:pos:R:3 pbc="T T T"
Cs 0.000 0.000 0.000
Ga 2.681 2.681 2.681
Hg 0.000 2.681 2.681
Hg 2.681 0.000 2.681
Hg 2.681 2.681 0.000
```

Summary:
- space group = Pm-3m (221)
- uncorrected energy (eV per cell) = -259.68
- Fermi-level density of states (states/eV/cell) = 2.13
- total magnetization (μB per formula unit) = 0.0

=====

First-principles (meta-GGA SCAN) data for a PBEsol-optimized structure of CrP2Rh, as listed in Alexandria via LeMat-Bulk.

The structure in extended XYZ format:
```
4
Lattice="2.866 0.000 0.000 0.000 2.866 0.000 0.000 0.000 5.740" Properties=species:S:1:pos:R:3 pbc="T T T"
Cr 0.000 0.000 0.000
P 1.433 1.433 1.291
P 1.433 1.433 4.448
Rh 0.000 0.000 2.870
```

Summary:
- space group = P4/mmm (123)
- uncorrected energy (eV per cell) = -73.92
- Fermi-level density of states (states/eV/cell) = 2.60
- total magnetization (μB per formula unit) = 0.0

=====

First-principles (meta-GGA SCAN) data for a PBEsol-optimized structure of Zn2TcMo, as listed in Alexandria via LeMat-Bulk.

The structure in extended XYZ format:
```
4
Lattice="1.356 0.783 8.927 -1.356 0.783 8.927 0.000 -1.565 8.927" Properties=species:S:1:pos:R:3 pbc="T T T"
Zn 0.000 0.000 6.648
Zn 0.000 0.000 20.133
Tc 0.000 0.000 13.390
Mo 0.000 0.000 0.000
```

Summary:
- space group = R-3m (166)
- Fermi-level density of states (states/eV/cell) = 2.82
- total magnetization (μB per formula unit) = 0.0
- energy above the lowest structure with this stoichiometry (eV per formula unit) = 0.82

=====

First-principles (meta-GGA SCAN) data for a PBEsol-optimized structure of Lu4Ga12Pd, as listed in Alexandria via LeMat-Bulk.

The structure in extended XYZ format:
```
17
Lattice="-4.200 4.200 4.200 4.200 -4.200 4.200 4.200 4.200 -4.200" Properties=species:S:1:pos:R:3 pbc="T T T"
Lu 2.100 2.100 -2.100
Lu 2.100 -2.100 2.100
Lu -2.100 2.100 2.100
Lu 2.100 2.100 2.100
Ga 2.495 0.000 0.000
Ga 5.906 0.000 0.000
Ga 4.200 2.100 0.000
Ga 4.200 0.000 2.100
Ga 0.000 2.495 0.000
Ga 0.000 0.000 2.495
Ga 2.100 4.200 0.000
Ga 2.100 0.000 4.200
Ga 0.000 5.906 0.000
Ga 0.000 0.000 5.906
Ga 0.000 4.200 2.100
Ga 0.000 2.100 4.200
Pd 0.000 0.000 0.000
```

Summary:
- space group = Im-3m (229)
- uncorrected energy (eV per cell) = -461.14
- Fermi-level density of states (states/eV/cell) = 3.10
- total magnetization (μB per formula unit) = 0.0

=====

First-principles (meta-GGA SCAN) data for a PBEsol-optimized structure of KAlPt, as listed in Alexandria via LeMat-Bulk.

The structure in extended XYZ format:
```
3
Lattice="4.147 0.000 0.000 -2.073 3.591 0.000 0.000 0.000 5.346" Properties=species:S:1:pos:R:3 pbc="T T T"
K 0.000 0.000 0.000
Al 2.073 1.197 2.673
Pt 0.000 2.394 2.673
```

Summary:
- space group = P-6m2 (187)
- uncorrected energy (eV per cell) = -87.81
- Fermi-level density of states (states/eV/cell) = 1.07
- total magnetization (μB per formula unit) = 0.0

=====

First-principles (meta-GGA SCAN) data for a PBEsol-optimized structure of Cs2TlPd, as listed in Alexandria via LeMat-Bulk.

The structure in extended XYZ format:
```
8
Lattice="-6.191 6.191 2.634 6.191 -6.191 2.634 6.191 6.191 -2.634" Properties=species:S:1:pos:R:3 pbc="T T T"
Cs -1.124 3.096 0.658
Cs 3.096 5.068 1.975
Cs 1.124 9.287 0.658
Cs -3.096 7.315 1.975
Tl 6.191 0.000 1.317
Tl 0.000 0.000 2.634
Pd 0.000 0.000 0.000
Pd 0.000 6.191 1.317
```

Summary:
- space group = I-42d (122)
- uncorrected energy (eV per cell) = -362.07
- Fermi-level density of states (states/eV/cell) = 4.87
- total magnetization (μB per formula unit) = 0.0

=====

total magnetization of number 4 (CrP2Rh)? 0.0 μB per formula unit